Record 1
## CuAg (PBE-GGA)

Data for an optimized crystal structure of CuAg.

a b c (Å): 3.9172 9.8982 9.8982
angles (deg): 22.91 90.00 90.00
Last column: nearest neighbours and their distance in Å.
Fractional positions:
Ag  0.5000  0.0965  0.0965  8 Cu 2.76-2.78, 4 Ag 2.77-2.78
Ag  0.0000  0.1981  0.1981  6 Cu 2.77-2.78, 6 Ag 2.78-2.87
Ag  0.5000  0.3056  0.3056  6 Cu 2.74-2.89, 6 Ag 2.78-2.86
Ag  0.5000  0.4962  0.4962  10 Cu 2.65-2.78, 2 Ag 2.77
Ag  0.0000  0.8058  0.8058  6 Cu 2.74-2.89, 6 Ag 2.78-2.87
Cu  0.0000  0.4045  0.4045  6 Cu 2.64-2.78, 6 Ag 2.65-2.74
Cu  0.0000  0.5972  0.5972  4 Cu 2.75-2.79, 8 Ag 2.77-2.78
Cu  0.5000  0.6964  0.6964  2 Cu 2.75, 10 Ag 2.76-2.89
Cu  0.5000  0.9048  0.9048  6 Cu 2.63-2.78, 6 Ag 2.65-2.75
Cu  0.0000  0.9950  0.9950  6 Cu 2.63-2.79, 6 Ag 2.78

Calculated values
Formation enthalpy at 0 K in eV per atom: 0.097
Space group: Amm2


Record 2
## CuAg (PBE-GGA)

Data for an optimized crystal structure of CuAg.

a b c (Å): 4.7954 4.7954 11.7517
angles (deg): 100.09 100.09 33.80
Last column: nearest neighbours and their distance in Å.
Fractional positions:
Ag  0.3067  0.3067  0.0800  5 Cu 2.69-2.72, 7 Ag 2.79-3.00
Ag  0.6020  0.6020  0.1985  8 Ag 2.76-2.89, 4 Cu 2.81-2.88
Ag  0.8949  0.8949  0.3078  3 Cu 2.76-2.83, 9 Ag 2.76-3.00
Ag  0.4966  0.4966  0.5175  8 Cu 2.66-2.79, 4 Ag 2.79-2.84
Ag  0.4003  0.4003  0.7962  10 Cu 2.68-2.74, 2 Ag 2.79
Cu  0.1974  0.1974  0.4136  4 Cu 2.61-2.79, 8 Ag 2.76-2.88
Cu  0.7862  0.7862  0.6010  6 Cu 2.61-2.79, 5 Ag 2.66-2.72
Cu  0.1098  0.1098  0.7072  6 Cu 2.55-2.79, 5 Ag 2.67-2.73
Cu  0.6929  0.6929  0.8891  6 Cu 2.55-2.79, 5 Ag 2.69-2.74
Cu  0.0131  0.0131  0.9893  4 Cu 2.60-2.79, 7 Ag 2.70-2.81

Calculated values
Formation enthalpy at 0 K in eV per atom: 0.091
Space group: Cm


Record 3
## CuAg (PBE-GGA)

Data for an optimized crystal structure of CuAg.

a b c (Å): 4.7988 4.7988 7.7505
angles (deg): 113.24 113.24 47.35
Last column: nearest neighbours and their distance in Å.
Fractional positions:
Ag  0.8684  0.8684  0.2879  6 Cu 2.62-2.77, 5 Ag 2.79-2.91
Ag  0.6234  0.6234  0.4267  4 Cu 2.74-3.00, 8 Ag 2.79-2.91
Ag  0.3766  0.3766  0.5733  4 Cu 2.74-3.00, 8 Ag 2.79-2.91
Ag  0.1316  0.1316  0.7121  6 Cu 2.62-2.77, 5 Ag 2.79-2.91
Cu  0.3821  0.3821  0.0554  8 Cu 2.56-2.85, 4 Ag 2.62-2.74
Cu  0.1203  0.1203  0.1627  6 Cu 2.50-2.76, 3 Ag 2.75-2.77
Cu  0.8797  0.8797  0.8373  6 Cu 2.50-2.76, 3 Ag 2.75-2.77
Cu  0.6179  0.6179  0.9446  8 Cu 2.56-2.85, 4 Ag 2.62-2.74

Calculated values
Formation enthalpy at 0 K in eV per atom: 0.085
Space group: C2/m


Record 4
## Cu7Ag2 (PBE-GGA)

Data for an optimized crystal structure of Cu7Ag2.

a b c (Å): 6.9509 6.9509 6.9509
angles (deg): 157.69 109.92 74.58
Last column: nearest neighbours and their distance in Å.
Fractional positions:
Ag  0.1662  0.1662  0.0000  10 Cu 2.67-2.70, 2 Ag 2.69
Ag  0.8338  0.8338  0.0000  10 Cu 2.67-2.70, 2 Ag 2.69
Cu  0.5000  0.5000  0.0000  12 Cu 2.54-2.69
Cu  0.8187  0.5000  0.3187  7 Cu 2.54-2.69, 4 Ag 2.70
Cu  0.4951  0.1601  0.3350  9 Cu 2.54-2.76, 3 Ag 2.67-2.69
Cu  0.1749  0.8399  0.3350  9 Cu 2.54-2.76, 3 Ag 2.67-2.69
Cu  0.8251  0.1601  0.6650  9 Cu 2.54-2.76, 3 Ag 2.67-2.69
Cu  0.5049  0.8399  0.6650  9 Cu 2.54-2.76, 3 Ag 2.67-2.69
Cu  0.1813  0.5000  0.6813  7 Cu 2.54-2.69, 4 Ag 2.70

Calculated values
Formation enthalpy at 0 K in eV per atom: 0.076
Space group: Immm


Record 5
## CuAg2 (PBE-GGA)

Data for an optimized crystal structure of CuAg2.

a b c (Å): 7.2704 7.2704 7.0350
angles (deg): 96.20 96.20 22.88
Last column: nearest neighbours and their distance in Å.
Fractional positions:
Ag  0.8414  0.8414  0.0225  3 Cu 2.70-2.76, 9 Ag 2.88-2.96
Ag  0.7215  0.7215  0.3267  2 Cu 2.74, 10 Ag 2.87-3.00
Ag  0.4069  0.4069  0.3734  4 Cu 2.70-2.77, 7 Ag 2.88-3.00
Ag  0.5931  0.5931  0.6266  4 Cu 2.70-2.77, 7 Ag 2.88-3.00
Ag  0.2785  0.2785  0.6733  2 Cu 2.74, 10 Ag 2.87-3.00
Ag  0.1586  0.1586  0.9775  3 Cu 2.70-2.76, 9 Ag 2.88-2.96
Cu  0.5000  0.5000  0.0000  4 Cu 2.55, 4 Ag 2.70
Cu  0.0572  0.0572  0.2896  2 Cu 2.55, 7 Ag 2.70-2.77
Cu  0.9428  0.9428  0.7104  2 Cu 2.55, 7 Ag 2.70-2.77

Calculated values
Formation enthalpy at 0 K in eV per atom: 0.062
Space group: C2/m


Record 6
## CuAg (PBE-GGA)

Data for an optimized crystal structure of CuAg.

a b c (Å): 2.7946 2.7946 18.8382
angles (deg): 90.00 90.00 90.00
Last column: nearest neighbours and their distance in Å.
Fractional positions:
Ag  0.5000  0.5000  0.0723  4 Cu 2.74, 8 Ag 2.79-2.96
Ag  0.0000  0.0000  0.1893  12 Ag 2.79-2.97
Ag  0.5000  0.5000  0.3067  4 Cu 2.73, 8 Ag 2.79-2.97
Ag  0.5000  0.5000  0.5070  4 Cu 2.73, 8 Ag 2.79-2.97
Ag  0.0000  0.0000  0.6244  4 Cu 2.74, 8 Ag 2.79-2.97
Cu  0.0000  0.0000  0.4067  8 Ag 2.73, 4 Cu 2.79
Cu  0.5000  0.5000  0.7252  8 Cu 2.51-2.79, 4 Ag 2.74
Cu  0.0000  0.0000  0.8074  12 Cu 2.51-2.79
Cu  0.5000  0.5000  0.8893  12 Cu 2.51-2.79
Cu  0.0000  0.0000  0.9716  8 Cu 2.51-2.79, 4 Ag 2.74

Calculated values
Formation enthalpy at 0 K in eV per atom: 0.059
Space group: P4mm